DFT (GGA-PBEsol) results for a relaxed AgHPt3 crystal.

Cell: 4.824 4.824 4.824 Å, 90.00 90.00 90.00°
Atoms (fractional coordinates):
Ag: 0.000 0.000 0.000
H: 0.500 0.500 0.500
Pt: 0.000 0.000 0.500
Pt: 0.000 0.500 0.000
Pt: 0.500 0.000 0.000

Theoretical density ... 10.265 g cm⁻³
N(E_F) ... 5.1 states/eV/cell
Energy relative to the lowest polymorph listed for this composition ... 2205 meV per atom

***

DFT (GGA-PBEsol) results for a relaxed LiY3WO8 crystal.

Cell: 6.197 6.197 6.067 Å, 90.00 90.00 125.73°
Atoms (fractional coordinates):
Li: 0.000 0.000 0.000
Y: 0.000 0.000 0.500
Y: 0.000 0.500 0.743
Y: 0.500 0.000 0.257
W: 0.500 0.500 0.000
O: 0.196 0.804 0.500
O: 0.224 0.284 0.786
O: 0.284 0.224 0.214
O: 0.324 0.676 0.000
O: 0.676 0.324 0.000
O: 0.716 0.776 0.214
O: 0.776 0.716 0.786
O: 0.804 0.196 0.500

Theoretical density ... 5.141 g cm⁻³
N(E_F) ... 0.0 states/eV/cell
Energy relative to the lowest polymorph listed for this composition ... 26 meV per atom

***

DFT (GGA-PBEsol) results for a relaxed MgRu2 crystal.

Cell: 10.008 2.759 6.436 Å, 90.00 104.63 90.00°
Atoms (fractional coordinates):
Mg: 0.000 0.000 0.000
Mg: 0.162 0.500 0.357
Mg: 0.500 0.500 0.000
Mg: 0.662 0.000 0.357
Ru: 0.125 0.500 0.740
Ru: 0.287 0.000 0.085
Ru: 0.335 0.000 0.690
Ru: 0.436 0.500 0.425
Ru: 0.625 0.000 0.740
Ru: 0.787 0.500 0.085
Ru: 0.835 0.500 0.690
Ru: 0.936 0.000 0.425

Theoretical density ... 8.747 g cm⁻³
ΔH_f (0 K) ... 0.183 eV/atom
N(E_F) ... 11.1 states/eV/cell

***

DFT (GGA-PBEsol) results for a relaxed PWSe2 crystal.

Cell: 3.111 3.923 12.328 Å, 90.00 90.00 90.00°
Atoms (fractional coordinates):
P: 0.000 0.000 0.000
P: 0.500 0.500 0.500
W: 0.000 0.000 0.500
W: 0.500 0.500 0.000
Se: 0.000 0.500 0.170
Se: 0.000 0.500 0.830
Se: 0.500 0.000 0.330
Se: 0.500 0.000 0.670

Electronic total energy ... -6.67 eV per atom
Theoretical density ... 8.229 g cm⁻³
N(E_F) ... 5.3 states/eV/cell

***

DFT (GGA-PBEsol) results for a relaxed Sb2IrOs crystal.

Cell: 2.932 4.764 10.490 Å, 90.00 90.00 90.00°
Atoms (fractional coordinates):
Sb: 0.000 0.000 0.000
Sb: 0.000 0.500 0.196
Sb: 0.500 0.000 0.696
Sb: 0.500 0.500 0.500
Ir: 0.000 0.500 0.743
Ir: 0.500 0.000 0.243
Os: 0.000 0.000 0.457
Os: 0.500 0.500 0.957

Theoretical density ... 14.189 g cm⁻³
N(E_F) ... 6.4 states/eV/cell
Energy relative to the lowest polymorph listed for this composition ... 292 meV per atom

***

DFT (GGA-PBEsol) results for a relaxed Ga2FeP3O12 crystal.

Cell: 4.993 4.993 11.166 Å, 90.37 90.37 59.17°
Atoms (fractional coordinates):
Ga: 0.231 0.231 0.164
Ga: 0.769 0.769 0.836
Fe: 0.321 0.679 0.500
P: 0.228 0.229 0.670
P: 0.314 0.686 0.000
P: 0.771 0.772 0.330
O: 0.039 0.817 0.372
O: 0.084 0.818 0.894
O: 0.182 0.916 0.106
O: 0.183 0.961 0.628
O: 0.367 0.319 0.566
O: 0.367 0.367 0.040
O: 0.448 0.137 0.780
O: 0.495 0.094 0.293
O: 0.633 0.633 0.960
O: 0.681 0.633 0.434
O: 0.863 0.552 0.220
O: 0.906 0.505 0.707

Electronic total energy ... -7.35 eV per atom
Theoretical density ... 3.337 g cm⁻³

***

DFT (GGA-PBEsol) results for a relaxed ZrSi crystal.

Cell: 6.938 3.772 5.273 Å, 90.00 90.00 90.00°
Atoms (fractional coordinates):
Zr: 0.176 0.250 0.125
Zr: 0.324 0.750 0.625
Zr: 0.676 0.250 0.375
Zr: 0.824 0.750 0.875
Si: 0.042 0.250 0.638
Si: 0.458 0.750 0.138
Si: 0.542 0.250 0.862
Si: 0.958 0.750 0.362

Electronic total energy ... -8.44 eV per atom
Theoretical density ... 5.742 g cm⁻³
N(E_F) ... 2.0 states/eV/cell

***

DFT (GGA-PBEsol) results for a relaxed Li3CrFe3O8 crystal.

Cell: 5.763 5.763 5.763 Å, 57.91 57.91 57.91°
Atoms (fractional coordinates):
Li: 0.000 0.500 0.500
Li: 0.500 0.000 0.500
Li: 0.500 0.500 0.000
Cr: 0.500 0.500 0.500
Fe: 0.000 0.000 0.500
Fe: 0.000 0.500 0.000
Fe: 0.500 0.000 0.000
O: 0.238 0.739 0.739
O: 0.242 0.242 0.242
O: 0.261 0.261 0.762
O: 0.261 0.762 0.261
O: 0.739 0.238 0.739
O: 0.739 0.739 0.238
O: 0.758 0.758 0.758
O: 0.762 0.261 0.261

Theoretical density ... 4.747 g cm⁻³
N(E_F) ... 12.0 states/eV/cell
Energy relative to the lowest polymorph listed for this composition ... 0 meV per atom

***

DFT (GGA-PBEsol) results for a relaxed BeHg2Te crystal.

Cell: 5.470 5.478 12.338 Å, 90.00 90.00 90.00°
Atoms (fractional coordinates):
Be: 0.000 0.000 0.000
Be: 0.000 0.500 0.500
Be: 0.500 0.000 0.500
Be: 0.500 0.500 0.000
Hg: 0.250 0.000 0.250
Hg: 0.250 0.000 0.750
Hg: 0.250 0.500 0.250
Hg: 0.250 0.500 0.750
Hg: 0.750 0.000 0.250
Hg: 0.750 0.000 0.750
Hg: 0.750 0.500 0.250
Hg: 0.750 0.500 0.750
Te: 0.000 0.000 0.500
Te: 0.000 0.500 0.000
Te: 0.500 0.000 0.000
Te: 0.500 0.500 0.500

Theoretical density ... 9.661 g cm⁻³
N(E_F) ... 4.3 states/eV/cell
Energy relative to the lowest polymorph listed for this composition ... 36 meV per atom

***

DFT (GGA-PBEsol) results for a relaxed HgOs2RuCl crystal.

Cell: 4.685 4.685 4.535 Å, 90.00 90.00 90.00°
Atoms (fractional coordinates):
Hg: 0.000 0.000 0.000
Os: 0.000 0.500 0.500
Os: 0.500 0.000 0.500
Ru: 0.500 0.500 0.500
Cl: 0.500 0.500 0.000

Electronic total energy ... -5.59 eV per atom
Theoretical density ... 11.973 g cm⁻³
N(E_F) ... 7.4 states/eV/cell

***

DFT (GGA-PBEsol) results for a relaxed CaMoIr2 crystal.

Cell: 2.834 2.834 27.750 Å, 90.00 90.00 120.00°
Atoms (fractional coordinates):
Ca: 0.000 0.000 0.000
Ca: 0.333 0.667 0.667
Ca: 0.667 0.333 0.333
Mo: 0.000 0.000 0.500
Mo: 0.333 0.667 0.167
Mo: 0.667 0.333 0.833
Ir: 0.000 0.000 0.244
Ir: 0.000 0.000 0.756
Ir: 0.333 0.667 0.423
Ir: 0.333 0.667 0.911
Ir: 0.667 0.333 0.089
Ir: 0.667 0.333 0.577

Theoretical density ... 13.432 g cm⁻³
ΔH_f (0 K) ... 0.174 eV/atom
N(E_F) ... 12.6 states/eV/cell
Energy relative to the lowest polymorph listed for this composition ... 65 meV per atom

***

DFT (GGA-PBEsol) results for a relaxed CdFeSi2 crystal.

Cell: 2.650 3.737 12.250 Å, 90.00 90.00 90.00°
Atoms (fractional coordinates):
Cd: 0.000 0.000 0.000
Cd: 0.500 0.500 0.500
Fe: 0.000 0.500 0.297
Fe: 0.500 0.000 0.797
Si: 0.000 0.000 0.644
Si: 0.000 0.500 0.813
Si: 0.500 0.000 0.313
Si: 0.500 0.500 0.144

Electronic total energy ... -5.47 eV per atom
Theoretical density ... 6.145 g cm⁻³
N(E_F) ... 4.0 states/eV/cell